(1)
First-principles (PBE) data for a geometry-optimized Nd2Sm3Th structure, as listed in Alexandria via LeMat-Bulk.

a = 6.771 Å, b = 9.137 Å, c = 6.771 Å
α = 82.28°, β = 84.73°, γ = 97.72°
Sites, in units of the cell vectors:
Nd1 0.875 0.625 0.625
Nd2 0.375 0.125 0.125
Nd3 0.625 0.875 0.875
Nd4 0.125 0.375 0.375
Sm1 0.582 0.250 0.582
Sm2 0.418 0.750 0.418
Sm3 0.160 0.998 0.674
Sm4 0.674 0.502 0.160
Sm5 0.326 0.498 0.840
Sm6 0.840 0.002 0.326
Th1 0.086 0.750 0.086
Th2 0.914 0.250 0.914

E above lowest polymorph in kcal/mol of atoms: 0.000
ΔH_f (0 K) in eV/f.u.: 0.6
Symmetry: C2/c (15)


(2)
First-principles (PBE) data for a geometry-optimized TmBiAs2O8 structure, as listed in Alexandria via LeMat-Bulk.

a = 5.561 Å, b = 5.561 Å, c = 6.967 Å
α = 90.00°, β = 90.00°, γ = 120.00°
Sites, in units of the cell vectors:
Tm1 0.000 0.000 0.000
Bi1 0.000 0.000 0.500
As1 0.667 0.333 0.305
As2 0.333 0.667 0.695
O1 0.835 0.165 0.220
O2 0.835 0.670 0.220
O3 0.330 0.165 0.220
O4 0.670 0.835 0.780
O5 0.333 0.667 0.454
O6 0.667 0.333 0.546
O7 0.165 0.835 0.780
O8 0.165 0.330 0.780

Energy relative to the elements, uncorrected in meV/atom: -1726
Symmetry: P-3m1 (164)


(3)
First-principles (PBE) data for a geometry-optimized Be2Zn2GaPt5 structure, as listed in Alexandria via LeMat-Bulk.

a = 3.404 Å, b = 9.101 Å, c = 9.101 Å
α = 90.00°, β = 90.00°, γ = 90.00°
Sites, in units of the cell vectors:
Be1 0.000 0.126 0.626
Be2 0.000 0.874 0.374
Be3 0.000 0.626 0.874
Be4 0.000 0.374 0.126
Zn1 0.000 0.671 0.171
Zn2 0.000 0.329 0.829
Zn3 0.000 0.171 0.329
Zn4 0.000 0.829 0.671
Ga1 0.000 0.000 0.000
Ga2 0.000 0.500 0.500
Pt1 0.500 0.202 0.083
Pt2 0.500 0.798 0.917
Pt3 0.500 0.083 0.798
Pt4 0.500 0.702 0.417
Pt5 0.500 0.917 0.202
Pt6 0.500 0.298 0.583
Pt7 0.500 0.583 0.702
Pt8 0.500 0.417 0.298
Pt9 0.500 0.500 0.000
Pt10 0.500 0.000 0.500

ΔH_f (0 K) in eV/f.u.: -5.6
Symmetry: P4/mbm (127)


(4)
First-principles (PBE) data for a geometry-optimized NdScBeZn structure, as listed in Alexandria via LeMat-Bulk.

a = 4.888 Å, b = 4.888 Å, c = 4.888 Å
α = 60.00°, β = 60.00°, γ = 60.00°
Sites, in units of the cell vectors:
Sc1 0.250 0.250 0.250
Be1 0.500 0.500 0.500
Zn1 0.000 0.000 0.000
Nd1 0.750 0.750 0.750

ΔH_f (0 K) in eV/f.u.: -0.3
Symmetry: F-43m (216)


(5)
First-principles (PBE) data for a geometry-optimized Mg3GeAu structure, as listed in Alexandria via LeMat-Bulk.

a = 5.045 Å, b = 5.045 Å, c = 5.045 Å
α = 90.00°, β = 90.00°, γ = 90.00°
Sites, in units of the cell vectors:
Ge1 0.500 0.500 0.500
Au1 0.000 0.000 0.000
Mg1 0.000 0.500 0.000
Mg2 0.000 0.000 0.500
Mg3 0.500 0.000 0.000

E above lowest polymorph in kcal/mol of atoms: 0.000
ΔH_f (0 K) in eV/f.u.: 0.3
Symmetry: Pm-3m (221)


(6)
First-principles (PBE) data for a geometry-optimized PmVW structure, as listed in Alexandria via LeMat-Bulk.

a = 4.322 Å, b = 4.328 Å, c = 9.763 Å
α = 116.25°, β = 90.00°, γ = 119.96°
Sites, in units of the cell vectors:
W1 0.098 0.195 0.145
W2 0.902 0.805 0.855
Pm1 0.563 0.126 0.344
Pm2 0.437 0.874 0.656
V1 0.300 0.600 0.949
V2 0.700 0.400 0.051

ΔH_f (0 K) in eV/f.u.: 1.3
Symmetry: C2/m (12)


(7)
First-principles (PBE) data for a geometry-optimized MgMn4Cr structure, as listed in Alexandria via LeMat-Bulk.

a = 4.742 Å, b = 4.742 Å, c = 4.742 Å
α = 60.00°, β = 60.00°, γ = 60.00°
Each line ends with the local moment (μB).
Sites, in units of the cell vectors:
Mg1 0.000 0.000 0.000  -0.01
Mn1 0.876 0.375 0.375  1.12
Mn2 0.375 0.375 0.876  1.12
Mn3 0.375 0.876 0.375  1.12
Mn4 0.375 0.375 0.375  1.12
Cr1 0.750 0.750 0.750  -2.03

ΔH_f (0 K) in eV/f.u.: 1.1
Symmetry: F-43m (216)


(8)
First-principles (PBE) data for a geometry-optimized Tb4Er3Ni4 structure, as listed in Alexandria via LeMat-Bulk.

a = 3.766 Å, b = 8.971 Å, c = 8.960 Å
α = 120.04°, β = 102.13°, γ = 90.00°
Sites, in units of the cell vectors:
Tb1 0.340 0.154 0.681
Tb2 0.660 0.473 0.319
Tb3 0.660 0.846 0.319
Tb4 0.340 0.527 0.681
Er1 0.110 0.110 0.220
Er2 0.890 0.890 0.780
Er3 0.000 0.500 0.000
Ni1 0.240 0.740 0.479
Ni2 0.760 0.260 0.521
Ni3 0.500 0.852 0.000
Ni4 0.500 0.148 0.000

ΔH_f (0 K) in eV/f.u.: -2.5
Symmetry: Immm (71)